Computed, not measured: Cs2MnN after structural relaxation at the PBE level of DFT.

a = 9.6797 Å, b = 9.6797 Å, c = 9.6797 Å
α = 92.09°, β = 92.09°, γ = 157.98°
Closest atoms and distances in Å follow each position.
Element x y z (fractional)
Cs  0.6250  0.3930  0.2680  2 N 3.40, 2 Mn 3.64, 2 Cs 3.70
Cs  0.1250  0.3570  0.7320  2 N 3.40, 2 Mn 3.64, 2 Cs 3.70
Cs  0.6070  0.8750  0.2320  2 N 3.40, 2 Mn 3.64, 2 Cs 3.70
Cs  0.6430  0.3750  0.7680  2 N 3.40, 2 Mn 3.64, 2 Cs 3.70
N  0.5000  0.5000  0.0000  2 Mn 1.85
N  0.7500  0.2500  0.5000  2 Mn 1.85
Mn  0.0000  0.0000  0.0000  2 N 1.85
Mn  0.2500  0.7500  0.5000  2 N 1.85

## Properties
For the density of states at the Fermi level, the calculation gives 4.27 states/eV per cell. The space-group type is I-42d. The formation energy (no corrections) is 185 meV per atom. As for the polymorph energy (0 for the lowest one): 0.0 meV/atom.

Computed, not measured: Pm2Ga2Cu after structural relaxation at the PBE level of DFT.

a = 4.4595 Å, b = 5.7474 Å, c = 9.7928 Å
α = 84.97°, β = 76.84°, γ = 67.17°
Closest atoms and distances in Å follow each position.
Element x y z (fractional)
Ga  0.3707  0.1445  0.1141  1 Cu 2.61, 1 Ga 2.66
Ga  0.6293  0.8555  0.8859  1 Cu 2.61, 1 Ga 2.66
Ga  0.0799  0.2780  0.5622  2 Cu 2.55, 1 Ga 2.63
Ga  0.9201  0.7220  0.4378  2 Cu 2.55, 1 Ga 2.63
Cu  0.3809  0.8901  0.3481  3 Ga 2.55-2.61
Cu  0.6191  0.1099  0.6519  3 Ga 2.55-2.61
Pm  0.6884  0.2895  0.3337  4 Cu 3.08-3.18, 7 Ga 3.12-3.35
Pm  0.9184  0.2741  0.8892  6 Ga 3.08-3.17, 2 Cu 3.29
Pm  0.0816  0.7259  0.1108  6 Ga 3.08-3.17, 2 Cu 3.29
Pm  0.3116  0.7105  0.6663  4 Cu 3.08-3.18, 7 Ga 3.12-3.35

## Properties
For the density of states at the Fermi level, the calculation gives 7.03 states/eV per cell. The space-group type is C2/m. As for the formation energy: -519 meV/atom.